Entry 1:
A plane-wave DFT calculation with GGA-PBE was carried out for LiErThMn after structural relaxation.

Formation energy in eV per atom: 0.13

Cell: 4.9760 4.9760 4.9760 Å, 60.00 60.00 60.00°
Atoms (fractional coordinates):
Er (0.0000, 0.0000, 0.0000)
Li (0.7500, 0.7500, 0.7500)
Th (0.5000, 0.5000, 0.5000)
Mn (0.2500, 0.2500, 0.2500)

Entry 2:
A plane-wave DFT calculation with GGA-PBE was carried out for Er2In2Hg after structural relaxation.

Distance to the lowest polymorph of the same formula in meV/atom: 71.6
Formation energy in eV per atom: -0.31

Cell: 3.4607 3.4693 11.0391 Å, 80.96 90.00 90.00°
Atoms (fractional coordinates):
Hg (0.0000, 0.0000, 0.0000)
Er (0.5000, 0.5940, 0.8120)
Er (0.5000, 0.4060, 0.1880)
In (0.0000, 0.8074, 0.3852)
In (0.0000, 0.1926, 0.6148)

Entry 3:
A plane-wave DFT calculation with GGA-PBE was carried out for PmEr8Th4 after structural relaxation.

Formation energy in eV per atom: 0.22

Cell: 7.3497 7.3497 9.7843 Å, 90.00 112.06 120.00°
Atoms (fractional coordinates):
Er (0.0613, 0.2495, 0.3108)
Er (0.5574, 0.7787, 0.3362)
Er (0.9387, 0.7505, 0.6892)
Er (0.9387, 0.1882, 0.6892)
Er (0.4426, 0.2213, 0.6638)
Er (0.5010, 0.7505, 0.6892)
Er (0.4990, 0.2495, 0.3108)
Er (0.0613, 0.8118, 0.3108)
Th (0.0000, 0.5000, 0.0000)
Th (0.0000, 0.0000, 0.0000)
Th (0.5000, 0.0000, 0.0000)
Th (0.5000, 0.5000, 0.0000)
Pm (0.0000, 0.5000, 0.5000)

Entry 4:
A plane-wave DFT calculation with GGA-PBE was carried out for SmGdBr2 after structural relaxation.

ΔE_f (raw) in meV per atom: -1049

Cell: 3.7180 3.7180 10.3899 Å, 79.69 79.69 60.00°
Atoms (fractional coordinates):
Br (0.0966, 0.0966, 0.7101)
Br (0.9034, 0.9034, 0.2899)
Sm (0.5000, 0.5000, 0.5000)
Gd (0.0000, 0.0000, 0.0000)

Entry 5:
A plane-wave DFT calculation with GGA-PBE was carried out for SrTiS2N after structural relaxation.

Distance to the lowest polymorph of the same formula in meV/atom: 2022.3
ΔE_f (raw) in meV per atom: 883

Cell: 5.4958 5.4958 4.6292 Å, 90.00 90.00 90.00°
Atoms (fractional coordinates):
N (0.0000, 0.0000, 0.5000)
Sr (0.0000, 0.0000, 0.0000)
Ti (0.5000, 0.5000, 0.5000)
S (0.0000, 0.5000, 0.0000)
S (0.5000, 0.0000, 0.0000)

Entry 6:
A plane-wave DFT calculation with GGA-PBE was carried out for Nd6Cu2Hg after structural relaxation.

Formation energy in eV per atom: -0.16

Cell: 8.7782 8.7782 8.7782 Å, 106.50 109.05 112.93°
Atoms (fractional coordinates):
Cu (0.3540, 0.0000, 0.3540)
Cu (0.5000, 0.3825, 0.8825)
Cu (0.5000, 0.6175, 0.1175)
Cu (0.6460, 0.0000, 0.6460)
Nd (0.6949, 0.0178, 0.3229)
Nd (0.0991, 0.2804, 0.8188)
Nd (0.1931, 0.2425, 0.4356)
Nd (0.8069, 0.7575, 0.5644)
Nd (0.6949, 0.3720, 0.6771)
Nd (0.4616, 0.2804, 0.1812)
Nd (0.8069, 0.2425, 0.0494)
Nd (0.1931, 0.7575, 0.9506)
Nd (0.3051, 0.9822, 0.6771)
Nd (0.5384, 0.7196, 0.8188)
Nd (0.9009, 0.7196, 0.1812)
Nd (0.3051, 0.6280, 0.3229)
Hg (0.0000, 0.5000, 0.5000)
Hg (0.0000, 0.0000, 0.0000)

no.,E_tot (Ry per atom)
1,-0.414
2,-0.242
3,-0.385
4,-0.484
5,-0.320
6,-0.315